Entry 1:
## Cs2RbNdCl6 (GGA-PBEsol)

Data for a relaxed structure of Cs2RbNdCl6.

Computed properties:
Formation energy without anion corrections in eV/atom: -2.09
Calculated total energy in eV/atom: -4.10

Structure (CIF):
```
data_Cs2RbNdCl6
_chemical_formula_sum 'Cs8 Rb4 Nd4 Cl24'
_space_group_name_H-M_alt 'F m -3 m'
_space_group_IT_number 225
_space_group_name_Hall '-F 4 2 3'
_cell_length_a 11.5144
_cell_length_b 11.5144
_cell_length_c 11.5144
_cell_angle_alpha 90.00
_cell_angle_beta 90.00
_cell_angle_gamma 90.00
loop_
_atom_site_label
_atom_site_type_symbol
_atom_site_fract_x
_atom_site_fract_y
_atom_site_fract_z
Cs1 Cs 0.2500 0.2500 0.2500
Rb1 Rb 0.0000 0.0000 0.0000
Nd1 Nd 0.0000 0.0000 0.5000
Cl1 Cl 0.0000 0.0000 0.2657
```


Entry 2:
## RuPb2Cl (GGA-PBEsol)

Data for a relaxed structure of RuPb2Cl.

Computed properties:
Formation energy without anion corrections in eV/atom: 0.35
E above lowest polymorph in meV per atom: 168
Calculated total energy in eV/atom: -4.69

Structure (CIF):
```
data_RuPb2Cl
_chemical_formula_sum 'Ru2 Pb4 Cl2'
_space_group_name_H-M_alt 'C m m 2'
_space_group_IT_number 35
_space_group_name_Hall 'C 2 -2'
_cell_length_a 3.2927
_cell_length_b 5.6454
_cell_length_c 9.6383
_cell_angle_alpha 90.00
_cell_angle_beta 90.00
_cell_angle_gamma 90.00
loop_
_atom_site_label
_atom_site_type_symbol
_atom_site_fract_x
_atom_site_fract_y
_atom_site_fract_z
Ru1 Ru 0.0000 0.0000 0.0000
Pb1 Pb 0.0000 0.0000 0.5365
Pb2 Pb 0.0000 0.5000 0.2324
Cl1 Cl 0.0000 0.5000 0.8294
```


Entry 3:
## HoP2H5O10 (GGA-PBEsol)

Data for a relaxed structure of HoP2H5O10.

Computed properties:
Calculated total energy in eV/atom: -6.63

Structure (CIF):
```
data_HoP2H5O10
_chemical_formula_sum 'Ho2 P4 H10 O20'
_space_group_name_H-M_alt 'P -1'
_space_group_IT_number 2
_space_group_name_Hall '-P 1'
_cell_length_a 6.3588
_cell_length_b 6.8264
_cell_length_c 9.7641
_cell_angle_alpha 83.06
_cell_angle_beta 81.35
_cell_angle_gamma 89.39
loop_
_atom_site_label
_atom_site_type_symbol
_atom_site_fract_x
_atom_site_fract_y
_atom_site_fract_z
Ho1 Ho 0.1275 0.2412 0.0390
P1 P 0.3053 0.7362 0.0680
P2 P 0.4408 0.3515 0.7060
H1 H 0.1162 0.2130 0.3383
H2 H 0.2153 0.9831 0.7703
H3 H 0.2696 0.7563 0.7421
H4 H 0.3530 0.3003 0.2833
H5 H 0.4801 0.6728 0.5248
O1 O 0.0229 0.4131 0.5151
O2 O 0.1552 0.8492 0.7734
O3 O 0.1590 0.9154 0.0596
O4 O 0.1646 0.5682 0.0396
O5 O 0.2294 0.2311 0.2585
O6 O 0.2540 0.2560 0.8048
O7 O 0.3430 0.6936 0.2287
O8 O 0.4332 0.5767 0.6716
O9 O 0.4753 0.2466 0.5722
O10 O 0.4825 0.2437 0.0234
```


Entry 4:
## ZnSi2Br (GGA-PBEsol)

Data for a relaxed structure of ZnSi2Br.

Computed properties:
Formation energy without anion corrections in eV/atom: 0.04
E above lowest polymorph in meV per atom: 0
Calculated total energy in eV/atom: -3.69

Structure (CIF):
```
data_ZnSi2Br
_chemical_formula_sum 'Zn3 Si6 Br3'
_space_group_name_H-M_alt 'R 3 m'
_space_group_IT_number 160
_space_group_name_Hall 'R 3 -2"'
_cell_length_a 3.7368
_cell_length_b 3.7368
_cell_length_c 19.7465
_cell_angle_alpha 90.00
_cell_angle_beta 90.00
_cell_angle_gamma 120.00
loop_
_atom_site_label
_atom_site_type_symbol
_atom_site_fract_x
_atom_site_fract_y
_atom_site_fract_z
Zn1 Zn 0.0000 0.0000 0.0000
Si1 Si 0.0000 0.0000 0.2526
Si2 Si 0.0000 0.0000 0.5417
Br1 Br 0.0000 0.0000 0.7491
```


Entry 5:
## Ta3C (GGA-PBEsol)

Data for a relaxed structure of Ta3C.

Computed properties:
E above lowest polymorph in meV per atom: 1180
DFT formation energy in meV per atom: 791
Calculated total energy in eV/atom: -11.03

Structure (CIF):
```
data_Ta3C
_chemical_formula_sum 'Ta6 C2'
_space_group_name_H-M_alt 'C m m m'
_space_group_IT_number 65
_space_group_name_Hall '-C 2 2'
_cell_length_a 5.5550
_cell_length_b 6.4447
_cell_length_c 3.2599
_cell_angle_alpha 90.00
_cell_angle_beta 90.00
_cell_angle_gamma 90.00
loop_
_atom_site_label
_atom_site_type_symbol
_atom_site_fract_x
_atom_site_fract_y
_atom_site_fract_z
Ta1 Ta 0.0000 0.0000 0.0000
Ta2 Ta 0.2500 0.2500 0.5000
C1 C 0.0000 0.5000 0.0000
```


Entry 6:
## CaLa3 (GGA-PBEsol)

Data for a relaxed structure of CaLa3.

Computed properties:
DFT formation energy in meV per atom: 54
Calculated total energy in eV/atom: -4.49

Structure (CIF):
```
data_CaLa3
_chemical_formula_sum 'Ca1 La3'
_space_group_name_H-M_alt 'P -6 m 2'
_space_group_IT_number 187
_space_group_name_Hall 'P -6 2'
_cell_length_a 3.6804
_cell_length_b 3.6804
_cell_length_c 12.2221
_cell_angle_alpha 90.00
_cell_angle_beta 90.00
_cell_angle_gamma 120.00
loop_
_atom_site_label
_atom_site_type_symbol
_atom_site_fract_x
_atom_site_fract_y
_atom_site_fract_z
Ca1 Ca 0.0000 0.0000 0.0000
La1 La 0.0000 0.0000 0.5000
La2 La 0.3333 0.6667 0.2595
```


Entry 7:
## MgSc3 (GGA-PBEsol)

Data for a relaxed structure of MgSc3.

Computed properties:
E above lowest polymorph in meV per atom: 27
DFT formation energy in meV per atom: 20
Calculated total energy in eV/atom: -5.36

Structure (CIF):
```
data_MgSc3
_chemical_formula_sum 'Mg2 Sc6'
_space_group_name_H-M_alt 'I m m 2'
_space_group_IT_number 44
_space_group_name_Hall 'I 2 -2'
_cell_length_a 3.2443
_cell_length_b 10.4077
_cell_length_c 5.4965
_cell_angle_alpha 90.00
_cell_angle_beta 90.00
_cell_angle_gamma 90.00
loop_
_atom_site_label
_atom_site_type_symbol
_atom_site_fract_x
_atom_site_fract_y
_atom_site_fract_z
Mg1 Mg 0.0000 0.0000 0.0000
Sc1 Sc 0.0000 0.2533 0.3387
Sc2 Sc 0.0000 0.5000 0.9882
```


Entry 8:
## CdFe2AgPb (GGA-PBEsol)

Data for a relaxed structure of CdFe2AgPb.

Computed properties:
DFT formation energy in meV per atom: 1143
Calculated total energy in eV/atom: -4.14

Structure (CIF):
```
data_CdFe2AgPb
_chemical_formula_sum 'Cd1 Fe2 Ag1 Pb1'
_space_group_name_H-M_alt 'P 4/m m m'
_space_group_IT_number 123
_space_group_name_Hall '-P 4 2'
_cell_length_a 4.7531
_cell_length_b 4.7531
_cell_length_c 5.0012
_cell_angle_alpha 90.00
_cell_angle_beta 90.00
_cell_angle_gamma 90.00
loop_
_atom_site_label
_atom_site_type_symbol
_atom_site_fract_x
_atom_site_fract_y
_atom_site_fract_z
Cd1 Cd 0.0000 0.0000 0.0000
Fe1 Fe 0.0000 0.5000 0.5000
Ag1 Ag 0.0000 0.0000 0.5000
Pb1 Pb 0.5000 0.5000 0.0000
```


Entry 9:
## MnCr2As (GGA-PBEsol)

Data for a relaxed structure of MnCr2As.

Computed properties:
DFT formation energy in meV per atom: 6
Calculated total energy in eV/atom: -8.83

Structure (CIF):
```
data_MnCr2As
_chemical_formula_sum 'Mn2 Cr4 As2'
_space_group_name_H-M_alt 'I 4/m m m'
_space_group_IT_number 139
_space_group_name_Hall '-I 4 2'
_cell_length_a 3.4565
_cell_length_b 3.4565
_cell_length_c 7.7577
_cell_angle_alpha 90.00
_cell_angle_beta 90.00
_cell_angle_gamma 90.00
loop_
_atom_site_label
_atom_site_type_symbol
_atom_site_fract_x
_atom_site_fract_y
_atom_site_fract_z
Mn1 Mn 0.0000 0.0000 0.0000
Cr1 Cr 0.0000 0.5000 0.2500
As1 As 0.0000 0.0000 0.5000
```


Entry 10:
## ScGa40Mo8 (GGA-PBEsol)

Data for a relaxed structure of ScGa40Mo8.

Computed properties:
DFT formation energy in meV per atom: -180
Calculated total energy in eV/atom: -4.96

Structure (CIF):
```
data_ScGa40Mo8
_chemical_formula_sum 'Sc3 Ga120 Mo24'
_space_group_name_H-M_alt 'R -3'
_space_group_IT_number 148
_space_group_name_Hall '-R 3'
_cell_length_a 13.8909
_cell_length_b 13.8909
_cell_length_c 15.0559
_cell_angle_alpha 90.00
_cell_angle_beta 90.00
_cell_angle_gamma 120.00
loop_
_atom_site_label
_atom_site_type_symbol
_atom_site_fract_x
_atom_site_fract_y
_atom_site_fract_z
Sc1 Sc 0.0000 0.0000 0.0000
Ga1 Ga 0.0000 0.0000 0.5000
Ga2 Ga 0.0000 0.5000 0.0000
Ga3 Ga 0.0055 0.1868 0.7785
Ga4 Ga 0.0118 0.8864 0.6559
Ga5 Ga 0.0135 0.1661 0.1205
Ga6 Ga 0.0135 0.6962 0.7658
Ga7 Ga 0.0352 0.5423 0.6623
Ga8 Ga 0.0892 0.5303 0.1733
Mo1 Mo 0.0000 0.0000 0.2080
Mo2 Mo 0.0149 0.7086 0.5957
```


Entry 11:
## MoAs2W (GGA-PBEsol)

Data for a relaxed structure of MoAs2W.

Computed properties:
E above lowest polymorph in meV per atom: 171
DFT formation energy in meV per atom: 220
Calculated total energy in eV/atom: -8.73

Structure (CIF):
```
data_MoAs2W
_chemical_formula_sum 'Mo3 As6 W3'
_space_group_name_H-M_alt 'R -3 m'
_space_group_IT_number 166
_space_group_name_Hall '-R 3 2"'
_cell_length_a 3.0104
_cell_length_b 3.0104
_cell_length_c 23.5906
_cell_angle_alpha 90.00
_cell_angle_beta 90.00
_cell_angle_gamma 120.00
loop_
_atom_site_label
_atom_site_type_symbol
_atom_site_fract_x
_atom_site_fract_y
_atom_site_fract_z
Mo1 Mo 0.0000 0.0000 0.0000
As1 As 0.0000 0.0000 0.2505
W1 W 0.0000 0.0000 0.5000
```


Entry 12:
## BaTlSN2 (GGA-PBEsol)

Data for a relaxed structure of BaTlSN2.

Computed properties:
Formation energy without anion corrections in eV/atom: 1.26
Calculated total energy in eV/atom: -3.98

Structure (CIF):
```
data_BaTlSN2
_chemical_formula_sum 'Ba1 Tl1 S1 N2'
_space_group_name_H-M_alt 'P 4/m m m'
_space_group_IT_number 123
_space_group_name_Hall '-P 4 2'
_cell_length_a 5.1353
_cell_length_b 5.1353
_cell_length_c 5.9590
_cell_angle_alpha 90.00
_cell_angle_beta 90.00
_cell_angle_gamma 90.00
loop_
_atom_site_label
_atom_site_type_symbol
_atom_site_fract_x
_atom_site_fract_y
_atom_site_fract_z
Ba1 Ba 0.0000 0.0000 0.0000
Tl1 Tl 0.5000 0.5000 0.5000
S1 S 0.0000 0.0000 0.5000
N1 N 0.0000 0.5000 0.0000
```


no.,D(E_F) (states/eV/cell)
1,0.00
2,8.06
3,0.00
4,2.59
5,3.23
6,6.39
7,12.23
8,6.84
9,6.15
10,68.94
11,11.64
12,3.72